# 1
Compound: Na5B9C
Source: the Alexandria database
Functional: GGA-PBE
Structure: optimized geometry

## Properties
calculated volume	11.11	A^3/atom
N(E_F)	0.282	states/eV/atom
energy of formation from the pure elements	0.2531	eV/atom

Cell: 5.116 7.931 9.184 Å, 71.99 89.97 71.19°
Fractional positions:
Na1 0.000 0.000 0.000
Na2 0.100 0.801 0.500
Na3 0.203 0.600 0.001
Na4 0.299 0.401 0.500
Na5 0.397 0.201 0.999
Na6 0.500 0.000 0.500
Na7 0.603 0.799 0.001
Na8 0.701 0.599 0.500
Na9 0.797 0.400 0.999
Na10 0.900 0.199 0.500
B1 0.018 0.294 0.751
B2 0.070 0.499 0.751
B3 0.178 0.282 0.250
B4 0.211 0.900 0.750
B5 0.286 0.103 0.750
B6 0.332 0.699 0.250
B7 0.360 0.918 0.250
B8 0.412 0.506 0.750
B9 0.488 0.698 0.749
B10 0.512 0.302 0.251
B11 0.588 0.494 0.250
B12 0.640 0.082 0.750
B13 0.668 0.301 0.750
B14 0.714 0.897 0.250
B15 0.789 0.100 0.250
B16 0.822 0.718 0.750
B17 0.930 0.501 0.249
B18 0.982 0.706 0.249
C1 0.109 0.100 0.250
C2 0.891 0.900 0.750

# 2
Compound: Na2B3C
Source: the Alexandria database
Functional: GGA-PBE
Structure: optimized geometry

## Properties
calculated volume	10.53	A^3/atom
N(E_F)	0.174	states/eV/atom
energy of formation from the pure elements	0.1807	eV/atom

Cell: 5.017 8.600 7.740 Å, 90.00 108.91 90.00°
Fractional positions:
Na1 0.000 0.245 0.000
Na2 0.000 0.755 0.000
Na3 0.199 0.247 0.399
Na4 0.199 0.753 0.399
Na5 0.395 0.246 0.798
Na6 0.395 0.754 0.798
Na7 0.600 0.247 0.198
Na8 0.600 0.753 0.198
Na9 0.795 0.246 0.600
Na10 0.795 0.754 0.600
B1 0.058 0.500 0.809
B2 0.066 0.000 0.799
B3 0.114 0.500 0.605
B4 0.129 0.000 0.587
B5 0.269 0.500 0.199
B6 0.339 0.500 0.994
B7 0.341 0.000 0.011
B8 0.448 0.500 0.590
B9 0.532 0.000 0.399
B10 0.544 0.500 0.405
B11 0.692 0.500 0.018
B12 0.709 0.500 0.794
B13 0.714 0.000 0.799
B14 0.873 0.500 0.380
B15 0.933 0.000 0.199
C1 0.274 0.000 0.205
C2 0.463 0.000 0.596
C3 0.666 0.000 0.002
C4 0.868 0.000 0.393
C5 0.947 0.500 0.199